Computed, not measured: crystalline La4Nd4Er at its relaxed geometry at the PBE level of DFT.

The value obtained for the total energy is -43.18 eV per formula unit.

The structure belongs to space group C2/m (No. 12); the cell edges are 15.583, 5.239 and 8.267 Å and the angles 90.00°, 108.74° and 90.00°. Symmetry generates all atoms from La at (0.166, 0.000, 0.002), La at (0.221, 0.500, 0.331), Nd at (0.055, 0.000, 0.335), Nd at (0.110, 0.500, 0.670) and Er at (0.000, 0.500, 0.000).